1.
VASP calculation (PBE) on CaSi3Os3 after structural relaxation.

* DFT total energy: -7.50 eV per atom
* energy above the lowest structure with this stoichiometry: 0 meV per atom
* total moment: 0.00 Bohr magnetons per cell
* formation energy without anion corrections: -0.08 eV per atom

a b c (Å): 6.5478 6.5478 21.1086
angles (deg): 90.00 90.00 120.00
Space group R-3 (No. 148, hexagonal axes)
Inequivalent atoms, fractional coordinates:
Ca 0.0000 0.0000 0.1667
Si 0.0195 0.2756 0.5927
Os 0.0269 0.3948 0.3773

2.
VASP calculation (PBE) on SrZrPbS2 after structural relaxation.

* DFT total energy: -4.76 eV per atom
* total moment: 1.90 Bohr magnetons per cell
* formation energy without anion corrections: -0.32 eV per atom

a b c (Å): 4.9805 4.9805 6.8691
angles (deg): 90.00 90.00 90.00
Space group P4/mmm (No. 123)
Inequivalent atoms, fractional coordinates:
Sr 0.0000 0.0000 0.0000
Zr 0.0000 0.0000 0.5000
Pb 0.5000 0.5000 0.0000
S 0.0000 0.5000 0.5000

3.
VASP calculation (PBE) on Zr2In2P after structural relaxation.

* DFT total energy: -6.15 eV per atom
* energy above the lowest structure with this stoichiometry: 0 meV per atom
* energy of formation from the pure elements: -551.6 meV/atom
* total moment: 0.00 Bohr magnetons per cell

a b c (Å): 6.8675 6.8675 4.7654
angles (deg): 90.00 90.00 90.00
Space group P4/mbm (No. 127)
Inequivalent atoms, fractional coordinates:
Zr 0.1645 0.3355 0.0000
In 0.1517 0.6517 0.5000
P 0.0000 0.0000 0.0000

4.
VASP calculation (PBE) on CaTlIr2 after structural relaxation.

* DFT total energy: -5.43 eV per atom
* energy of formation from the pure elements: 89.4 meV/atom
* total moment: 0.00 Bohr magnetons per cell

a b c (Å): 2.9795 3.8180 7.4408
angles (deg): 90.00 90.00 90.00
Space group Pmm2 (No. 25)
Inequivalent atoms, fractional coordinates:
Ca 0.0000 0.0000 0.0000
Tl 0.5000 0.5000 0.6658
Ir 0.0000 0.0000 0.3944
Ir 0.5000 0.5000 0.2646

5.
VASP calculation (PBE) on Ga2SiI after structural relaxation.

* DFT total energy: -3.12 eV per atom
* energy above the lowest structure with this stoichiometry: 0 meV per atom
* total moment: 0.00 Bohr magnetons per cell
* formation energy without anion corrections: 0.14 eV per atom

a b c (Å): 6.5060 6.5060 11.3380
angles (deg): 90.00 90.00 90.00
Space group I-42d (No. 122)
Inequivalent atoms, fractional coordinates:
Ga 0.1722 0.2500 0.1250
Si 0.0000 0.0000 0.0000
I 0.0000 0.0000 0.5000

6.
VASP calculation (PBE) on TaTlCr4 after structural relaxation.

* DFT total energy: -8.52 eV per atom
* energy of formation from the pure elements: 268.7 meV/atom
* total moment: 0.00 Bohr magnetons per cell

a b c (Å): 6.9962 6.9962 6.9962
angles (deg): 90.00 90.00 90.00
Space group F-43m (No. 216)
Inequivalent atoms, fractional coordinates:
Ta 0.0000 0.0000 0.0000
Tl 0.2500 0.2500 0.7500
Cr 0.1239 0.1239 0.3761

- Look up the total moment of the third one.
  0.00 Bohr magnetons per cell

- The lowest DFT total energy belongs to which entry?
  TaTlCr4

- Look up the total moment of the second one.
  1.90 Bohr magnetons per cell

- Which value of DFT total energy does entry 1 give?
  -7.50 eV per atom